Entry from the Alexandria database: a PBEsol-optimized structure of NaTi3Al (meta-GGA SCAN).

Summary:
- Spin magnetization: 3.8 μB/f.u.
- Density of states at the Fermi level: 5.95 states/eV/f.u.
- Energy of formation: 92.4 kJ/mol of atoms
- Volume: 114 Å³/cell
- Raw total energy: -11.054 eV/atom

Cell lengths 4.854, 4.854, 4.854 Å; angles 90.00, 90.00, 90.00 degrees
Atoms (fractional coordinates):
Na  0.000  0.000  0.000
Ti  0.000  0.500  0.500
Ti  0.500  0.000  0.500
Ti  0.500  0.500  0.000
Al  0.500  0.500  0.500